No. 1
# ScTa2Co (PBE, relaxed)
# - VASP energy (eV/atom) = -8.977
# - V (A^3/atom) = 17.20
# - total magnetization (Bohr magnetons per cell) = 0.009
data_ScTa2Co
_chemical_formula_sum 'Sc2 Ta4 Co2'
_cell_length_a 5.350
_cell_length_b 9.049
_cell_length_c 2.843
_cell_angle_alpha 90.00
_cell_angle_beta 90.00
_cell_angle_gamma 90.00
_symmetry_space_group_name_H-M 'C m m m'
_symmetry_Int_Tables_number 65
_symmetry_space_group_name_Hall '-C 2 2'
loop_
_atom_site_label
_atom_site_type_symbol
_atom_site_fract_x
_atom_site_fract_y
_atom_site_fract_z
Sc1 Sc 0.000 0.000 0.000
Ta1 Ta 0.250 0.250 0.500
Co1 Co 0.000 0.500 0.000

No. 2
# SiCl (PBE, relaxed)
# - VASP energy (eV/atom) = -4.133
# - V (A^3/atom) = 25.22
# - ΔE_f (raw) (eV per atom) = -0.498
# - total magnetization (Bohr magnetons per cell) = 0.000
data_SiCl
_chemical_formula_sum 'Si2 Cl2'
_cell_length_a 3.512
_cell_length_b 3.512
_cell_length_c 8.178
_cell_angle_alpha 90.00
_cell_angle_beta 90.00
_cell_angle_gamma 90.00
_symmetry_space_group_name_H-M 'P 4/n m m'
_symmetry_Int_Tables_number 129
loop_
_symmetry_equiv_pos_as_xyz
'x,y,z'
'-x,-y,-z'
'-y+1/2,x,z'
'y+1/2,-x,-z'
'-x+1/2,-y+1/2,z'
'x+1/2,y+1/2,-z'
'y,-x+1/2,z'
'-y,x+1/2,-z'
'x+1/2,-y,-z'
'-x+1/2,y,z'
'-y,-x,-z'
'y,x,z'
'-x,y+1/2,-z'
'x,-y+1/2,z'
'y+1/2,x+1/2,-z'
'-y+1/2,-x+1/2,z'
loop_
_atom_site_label
_atom_site_type_symbol
_atom_site_fract_x
_atom_site_fract_y
_atom_site_fract_z
Si1 Si 0.250 0.250 0.038
Cl1 Cl 0.250 0.250 0.292